Entry 1:
The following is a GGA-PBE calculation of a geometry-optimized Tb2Nd8Dy structure, from Alexandria.

Calculated values
The value obtained for the volume is 383.3 Å³ per cell. The value obtained for the calculated formation energy is 1.80 eV per formula unit.

abc: 9.111 9.111 6.751
angles: 99.64 99.64 44.05
Fractional coordinates of all 11 atoms:
1 Tb 0.197 0.197 0.307
2 Tb 0.803 0.803 0.693
3 Nd 0.175 0.651 0.095
4 Nd 0.244 0.244 0.819
5 Nd 0.349 0.825 0.905
6 Nd 0.406 0.406 0.586
7 Nd 0.594 0.594 0.414
8 Nd 0.651 0.175 0.095
9 Nd 0.756 0.756 0.181
10 Nd 0.825 0.349 0.905
11 Dy 0.000 0.000 0.500

Entry 2:
The following is a GGA-PBE calculation of a geometry-optimized TeIrRh2 structure, from Alexandria.

Calculated values
The value obtained for the volume is 64.9 Å³ per cell. The total energy is -6.504 eV per atom.

abc: 2.978 4.517 4.822
angles: 90.00 90.00 90.00
Fractional coordinates of all 4 atoms:
1 Te 0.000 0.000 0.000
2 Ir 0.000 0.500 0.640
3 Rh 0.500 0.000 0.518
4 Rh 0.500 0.500 0.167

Entry 3:
The following is a GGA-PBE calculation of a geometry-optimized Cd2PbAu2 structure, from Alexandria.

Calculated values
The value obtained for the volume is 237.1 Å³ per cell. The value obtained for the calculated formation energy is -0.09 eV per formula unit.

abc: 3.992 3.992 14.878
angles: 90.00 90.00 90.00
Fractional coordinates of all 10 atoms:
1 Cd 0.000 0.000 0.109
2 Cd 0.000 0.000 0.891
3 Cd 0.500 0.500 0.391
4 Cd 0.500 0.500 0.609
5 Pb 0.000 0.000 0.500
6 Pb 0.500 0.500 0.000
7 Au 0.000 0.500 0.250
8 Au 0.000 0.500 0.750
9 Au 0.500 0.000 0.250
10 Au 0.500 0.000 0.750

Entry 4:
The following is a GGA-PBE calculation of a geometry-optimized Zr2Cu2S structure, from Alexandria.

Calculated values
The value obtained for the volume is 169.8 Å³ per cell. The total energy is -6.261 eV per atom.

abc: 3.311 3.311 15.492
angles: 90.00 90.00 90.00
Fractional coordinates of all 10 atoms:
1 Zr 0.000 0.000 0.100
2 Zr 0.000 0.000 0.900
3 Zr 0.500 0.500 0.400
4 Zr 0.500 0.500 0.600
5 Cu 0.000 0.500 0.250
6 Cu 0.000 0.500 0.750
7 Cu 0.500 0.000 0.250
8 Cu 0.500 0.000 0.750
9 S 0.000 0.000 0.500
10 S 0.500 0.500 0.000

Number 2 is which compound?
TeIrRh2

Number 3 is which compound?
Cd2PbAu2